No. 1
A plane-wave DFT calculation with PBE was carried out for NaDyNiTe3 after structural relaxation.

* final energy: -4.27 eV/atom
* space-group type: Pnma, No. 62
* theoretical density: 6.58 g/cm3
* magnetization: 0.0 μB per cell

Unit cell a=12.1778 b=4.2367 c=12.2628 alpha=90.00 beta=90.00 gamma=90.00
With the nearest neighbours (Å) after each atom.
Sites, in units of the cell vectors:
1 Dy 0.5449 0.5000 0.8021  7 Te 3.05-3.41, 2 Ni 3.34
2 Te 0.4442 0.5000 0.3768  1 Ni 2.50
3 Ni 0.7384 0.0000 0.7159  4 Te 2.50-2.64
4 Dy 0.0449 0.5000 0.6979  7 Te 3.05-3.41, 2 Ni 3.34
5 Te 0.9442 0.5000 0.1232  1 Ni 2.50
6 Na 0.7128 0.5000 0.5079  6 Te 3.18-3.27, 2 Ni 3.33
7 Ni 0.2616 0.5000 0.2841  4 Te 2.50-2.64
8 Te 0.5558 0.0000 0.6232  1 Ni 2.50
9 Te 0.8015 0.5000 0.8047  2 Ni 2.50
10 Dy 0.4551 0.0000 0.1979  7 Te 3.05-3.41, 2 Ni 3.34
11 Te 0.5979 0.5000 0.0752  1 Ni 2.64
12 Te 0.0558 0.0000 0.8768  1 Ni 2.50
13 Te 0.6985 0.0000 0.3047  2 Ni 2.50
14 Te 0.0979 0.5000 0.4248  1 Ni 2.64
15 Ni 0.7616 0.5000 0.2159  4 Te 2.50-2.64
16 Te 0.9021 0.0000 0.5752  1 Ni 2.64
17 Na 0.2872 0.0000 0.4921  6 Te 3.18-3.27, 2 Ni 3.33
18 Te 0.1985 0.0000 0.1953  2 Ni 2.50
19 Na 0.7872 0.0000 0.0079  6 Te 3.18-3.27, 2 Ni 3.33
20 Ni 0.2384 0.0000 0.7841  4 Te 2.50-2.64
21 Te 0.3015 0.5000 0.6953  2 Ni 2.50
22 Dy 0.9551 0.0000 0.3021  7 Te 3.05-3.41, 2 Ni 3.34
23 Te 0.4021 0.0000 0.9248  1 Ni 2.64
24 Na 0.2128 0.5000 0.9921  6 Te 3.18-3.27, 2 Ni 3.33

---

No. 2
A plane-wave DFT calculation with PBE was carried out for NaDyO2 after structural relaxation.

* final energy: -6.75 eV/atom
* space-group type: R-3m, No. 166
* theoretical density: 6.65 g/cm3
* magnetization: 0.0 μB per cell

Unit cell a=5.7871 b=5.7871 c=5.7871 alpha=34.10 beta=34.10 gamma=34.10
With the nearest neighbours (Å) after each atom.
Sites, in units of the cell vectors:
1 O 0.7386 0.7386 0.7386  3 Dy 2.29, 3 Na 2.50
2 Dy 0.0000 0.0000 0.0000  6 O 2.29
3 Na 0.5000 0.5000 0.5000  6 O 2.50
4 O 0.2614 0.2614 0.2614  3 Dy 2.29, 3 Na 2.50

---

No. 3
A plane-wave DFT calculation with PBE was carried out for NaDyO2 after structural relaxation.

* final energy: -6.72 eV/atom
* space-group type: Pnma, No. 62
* theoretical density: 6.86 g/cm3
* magnetization: 0.0 μB per cell

Unit cell a=11.0510 b=3.3632 c=5.6695 alpha=90.00 beta=90.00 gamma=90.00
With the nearest neighbours (Å) after each atom.
Sites, in units of the cell vectors:
1 Dy 0.8648 0.7500 0.4256  6 O 2.29-2.32
2 Na 0.6019 0.7500 0.4187  6 O 2.30-2.57
3 O 0.2463 0.7500 0.4062  3 Dy 2.29, 1 Na 2.44
4 O 0.2537 0.2500 0.9062  3 Dy 2.29, 1 Na 2.44
5 O 0.5132 0.7500 0.7861  3 Dy 2.30-2.32, 3 Na 2.30-2.41
6 Na 0.3981 0.2500 0.5813  6 O 2.30-2.57
7 Dy 0.3648 0.7500 0.0744  6 O 2.29-2.32
8 O 0.0132 0.7500 0.7139  3 Dy 2.30-2.32, 3 Na 2.30-2.41
9 O 0.9868 0.2500 0.2861  3 Dy 2.30-2.32, 3 Na 2.30-2.41
10 Na 0.1019 0.7500 0.0813  6 O 2.30-2.57
11 O 0.4868 0.2500 0.2139  3 Dy 2.30-2.32, 3 Na 2.30-2.41
12 Dy 0.1352 0.2500 0.5744  6 O 2.29-2.32
13 Dy 0.6352 0.2500 0.9256  6 O 2.29-2.32
14 O 0.7537 0.2500 0.5938  3 Dy 2.29, 1 Na 2.44
15 O 0.7463 0.7500 0.0938  3 Dy 2.29, 1 Na 2.44
16 Na 0.8981 0.2500 0.9187  6 O 2.30-2.57

---

No. 4
A plane-wave DFT calculation with PBE was carried out for Na4DyO3 after structural relaxation.

* final energy: -4.76 eV/atom
* space-group type: Cc, No. 9
* theoretical density: 3.51 g/cm3
* magnetization: 0.0 μB per cell

Unit cell a=9.1127 b=9.1127 c=5.9648 alpha=96.39 beta=96.39 gamma=142.08
With the nearest neighbours (Å) after each atom.
Sites, in units of the cell vectors:
1 O 0.8212 0.6973 0.0016  1 Dy 2.07, 1 Na 2.26
2 Na 0.9502 0.0378 0.2247  5 O 2.40-2.57
3 Na 0.5336 0.4738 0.2442  4 O 2.36-2.49
4 Na 0.0378 0.9502 0.7247  5 O 2.40-2.57
5 Na 0.4047 0.6781 0.1930  3 O 2.26-2.27
6 Na 0.4738 0.5336 0.7442  4 O 2.36-2.49
7 O 0.9468 0.6215 0.4807  1 Dy 2.08, 3 Na 2.26-2.30
8 O 0.3005 0.1817 0.4621  1 Dy 2.08, 1 Na 2.27
9 Dy 0.1145 0.8433 0.2593  3 O 2.07-2.08
10 Na 0.6781 0.4047 0.6930  3 O 2.26-2.27
11 Na 0.7504 0.2566 0.2418  2 O 2.27-2.30
12 Dy 0.8432 0.1145 0.7593  3 O 2.07-2.08
13 Na 0.2566 0.7504 0.7418  2 O 2.27-2.30
14 O 0.6973 0.8212 0.5016  1 Dy 2.07, 1 Na 2.26
15 O 0.6215 0.9467 0.9807  1 Dy 2.08, 3 Na 2.26-2.30
16 O 0.1817 0.3005 0.9621  1 Dy 2.08, 1 Na 2.27

---

No. 5
A plane-wave DFT calculation with PBE was carried out for NaDyO3 after structural relaxation.

* final energy: -5.96 eV/atom
* space-group type: R-3c, No. 167
* theoretical density: 5.27 g/cm3
* magnetization: 4.0 μB per cell

Unit cell a=5.8448 b=5.8448 c=5.8448 alpha=61.90 beta=61.90 gamma=61.90
With the nearest neighbours (Å) after each atom.
Sites, in units of the cell vectors:
1 Na 0.7500 0.7500 0.7500  3 O 2.28
2 O 0.3703 0.1297 0.7500  2 Dy 2.22, 1 Na 2.28
3 O 0.2500 0.6297 0.8703  2 Dy 2.22, 1 Na 2.28
4 Na 0.2500 0.2500 0.2500  3 O 2.28
5 Dy 0.0000 0.0000 0.0000  6 O 2.22
6 Dy 0.5000 0.5000 0.5000  6 O 2.22
7 O 0.7500 0.3703 0.1297  2 Dy 2.22, 1 Na 2.28
8 O 0.1297 0.7500 0.3703  2 Dy 2.22, 1 Na 2.28
9 O 0.6297 0.8703 0.2500  2 Dy 2.22, 1 Na 2.28
10 O 0.8703 0.2500 0.6297  2 Dy 2.22, 1 Na 2.28

---

No. 6
A plane-wave DFT calculation with PBE was carried out for NaDyO3 after structural relaxation.

* final energy: -5.94 eV/atom
* space-group type: R-3, No. 148
* theoretical density: 5.23 g/cm3
* magnetization: 4.0 μB per cell

Unit cell a=5.8450 b=5.8450 c=6.0412 alpha=61.07 beta=61.07 gamma=60.00
With the nearest neighbours (Å) after each atom.
Sites, in units of the cell vectors:
1 Na 0.6379 0.6379 0.0862  6 O 2.34-2.42
2 O 0.2332 0.9671 0.2683  2 Dy 2.22-2.25, 2 Na 2.34-2.42
3 Dy 0.8575 0.8575 0.4274  6 O 2.22-2.25
4 O 0.4686 0.7668 0.7317  2 Dy 2.22-2.25, 2 Na 2.34-2.42
5 O 0.5314 0.2332 0.2683  2 Dy 2.22-2.25, 2 Na 2.34-2.42
6 O 0.7668 0.0329 0.7317  2 Dy 2.22-2.25, 2 Na 2.34-2.42
7 O 0.0329 0.4686 0.7317  2 Dy 2.22-2.25, 2 Na 2.34-2.42
8 O 0.9671 0.5314 0.2683  2 Dy 2.22-2.25, 2 Na 2.34-2.42
9 Na 0.3621 0.3621 0.9138  6 O 2.34-2.42
10 Dy 0.1425 0.1425 0.5725  6 O 2.22-2.25

---

No. 7
A plane-wave DFT calculation with PBE was carried out for NaDyO3 after structural relaxation.

* final energy: -6.19 eV/atom
* space-group type: Pnma, No. 62
* theoretical density: 5.95 g/cm3
* magnetization: 0.0 μB per cell

Unit cell a=6.0168 b=6.1454 c=7.0435 alpha=90.00 beta=90.00 gamma=90.00
With the nearest neighbours (Å) after each atom.
Sites, in units of the cell vectors:
1 O 0.3273 0.8837 0.2500  2 Dy 2.17, 2 Na 2.17-2.27
2 O 0.7146 0.2737 0.1414  1 O 1.53
3 O 0.2146 0.2263 0.6414  1 O 1.53
4 O 0.2854 0.7263 0.6414  1 O 1.53
5 Na 0.9901 0.9493 0.7500  6 O 2.17-2.37
6 Na 0.5099 0.4493 0.7500  6 O 2.17-2.37
7 Na 0.0099 0.0507 0.2500  6 O 2.17-2.37
8 O 0.7854 0.7737 0.3586  1 O 1.53
9 Dy 0.5000 0.0000 0.5000  6 O 2.17-2.42
10 Na 0.4901 0.5507 0.2500  6 O 2.17-2.37
11 O 0.1727 0.3837 0.2500  2 Dy 2.17, 2 Na 2.17-2.27
12 O 0.7146 0.2737 0.3586  1 O 1.53
13 Dy 0.0000 0.5000 0.5000  6 O 2.17-2.42
14 O 0.2146 0.2263 0.8586  1 O 1.53
15 O 0.6727 0.1163 0.7500  2 Dy 2.17, 2 Na 2.17-2.27
16 O 0.8273 0.6163 0.7500  2 Dy 2.17, 2 Na 2.17-2.27
17 O 0.2854 0.7263 0.8586  1 O 1.53
18 Dy 0.5000 0.0000 0.0000  6 O 2.17-2.42
19 Dy 0.0000 0.5000 0.0000  6 O 2.17-2.42
20 O 0.7854 0.7737 0.1414  1 O 1.53

---

No. 8
A plane-wave DFT calculation with PBE was carried out for NaDyO3 after structural relaxation.

* final energy: -5.93 eV/atom
* space-group type: P4mm, No. 99
* theoretical density: 4.73 g/cm3
* magnetization: 2.0 μB per cell

Unit cell a=4.2778 b=4.2778 c=4.4786 alpha=90.00 beta=90.00 gamma=90.00
With the nearest neighbours (Å) after each atom.
Sites, in units of the cell vectors:
1 O 0.5000 0.5000 0.0704  2 Dy 2.23-2.25
2 O 0.0000 0.5000 0.6664  2 Dy 2.18, 2 Na 2.44
3 Dy 0.5000 0.5000 0.5676  6 O 2.18-2.25
4 Na 0.0000 0.0000 0.9293  4 O 2.44
5 O 0.5000 0.0000 0.6664  2 Dy 2.18, 2 Na 2.44